Entry 1:
# DyTaB4 | OQMD via LeMat-Bulk | PBE-GGA | relaxed
data_DyTaB4
_chemical_formula_sum 'Dy1 Ta1 B4'
_cell_length_a 3.1429
_cell_length_b 3.1429
_cell_length_c 7.2633
_cell_angle_alpha 90.00
_cell_angle_beta 90.00
_cell_angle_gamma 120.00
_space_group_name_H-M_alt 'P 6/m m m'
_space_group_IT_number 191
_space_group_name_Hall '-P 6 2'
loop_
_atom_site_label
_atom_site_fract_x
_atom_site_fract_y
_atom_site_fract_z
_atom_site_occupancy
Dy1 0.0000 0.0000 0.0000 1
Ta1 0.0000 0.0000 0.5000 1
B1 0.3333 0.6667 0.2718 1
# Final energy, eV/atom: -7.9443

=====

Entry 2:
# DyTaB | OQMD via LeMat-Bulk | PBE-GGA | relaxed
data_DyTaB
_chemical_formula_sum 'Dy4 Ta4 B4'
_cell_length_a 5.9541
_cell_length_b 5.9541
_cell_length_c 5.9541
_cell_angle_alpha 90.00
_cell_angle_beta 90.00
_cell_angle_gamma 90.00
_space_group_name_H-M_alt 'F -4 3 m'
_space_group_IT_number 216
_space_group_name_Hall 'F -4 2 3'
loop_
_atom_site_label
_atom_site_fract_x
_atom_site_fract_y
_atom_site_fract_z
_atom_site_occupancy
Dy1 0.0000 0.0000 0.0000 1
Ta1 0.0000 0.0000 0.5000 1
B1 0.2500 0.2500 0.2500 1
# Final energy, eV/atom: -7.3947

=====

Entry 3:
# TbDyB | OQMD via LeMat-Bulk | PBE-GGA | relaxed
data_TbDyB
_chemical_formula_sum 'Tb4 Dy4 B4'
_cell_length_a 6.4105
_cell_length_b 6.4105
_cell_length_c 6.4105
_cell_angle_alpha 90.00
_cell_angle_beta 90.00
_cell_angle_gamma 90.00
_space_group_name_H-M_alt 'F -4 3 m'
_space_group_IT_number 216
_space_group_name_Hall 'F -4 2 3'
loop_
_atom_site_label
_atom_site_fract_x
_atom_site_fract_y
_atom_site_fract_z
_atom_site_occupancy
Tb1 0.0000 0.0000 0.0000 1
Dy1 0.0000 0.0000 0.5000 1
B1 0.2500 0.2500 0.7500 1
# Final energy, eV/atom: -5.2207

=====

Entry 4:
# DyTcB | OQMD via LeMat-Bulk | PBE-GGA | relaxed
data_DyTcB
_chemical_formula_sum 'Dy4 Tc4 B4'
_cell_length_a 5.8130
_cell_length_b 5.8130
_cell_length_c 5.8130
_cell_angle_alpha 90.00
_cell_angle_beta 90.00
_cell_angle_gamma 90.00
_space_group_name_H-M_alt 'F -4 3 m'
_space_group_IT_number 216
_space_group_name_Hall 'F -4 2 3'
loop_
_atom_site_label
_atom_site_fract_x
_atom_site_fract_y
_atom_site_fract_z
_atom_site_occupancy
Dy1 0.0000 0.0000 0.0000 1
Tc1 0.0000 0.0000 0.5000 1
B1 0.2500 0.2500 0.2500 1
# Final energy, eV/atom: -7.0531

=====

Entry 5:
# DyTc4B4 | OQMD via LeMat-Bulk | PBE-GGA | relaxed
data_DyTc4B4
_chemical_formula_sum 'Dy2 Tc8 B8'
_cell_length_a 7.3532
_cell_length_b 7.3532
_cell_length_c 4.2496
_cell_angle_alpha 90.00
_cell_angle_beta 90.00
_cell_angle_gamma 90.00
_space_group_name_H-M_alt 'P 42/n'
_space_group_IT_number 86
loop_
_space_group_symop_operation_xyz
'x,y,z'
'-x,-y,-z'
'-y,x+1/2,z+1/2'
'y,-x+1/2,-z+1/2'
'-x+1/2,-y+1/2,z'
'x+1/2,y+1/2,-z'
'y+1/2,-x,z+1/2'
'-y+1/2,x,-z+1/2'
loop_
_atom_site_label
_atom_site_fract_x
_atom_site_fract_y
_atom_site_fract_z
_atom_site_occupancy
Dy1 0.2500 0.2500 0.2500 1
Tc1 0.1169 0.6242 0.1178 1
B1 0.0651 0.9255 0.1191 1
# Final energy, eV/atom: -8.5116

=====

Entry 6:
# DyTcB4 | OQMD via LeMat-Bulk | PBE-GGA | relaxed
data_DyTcB4
_chemical_formula_sum 'Dy2 Tc2 B8'
_cell_length_a 3.1535
_cell_length_b 5.3721
_cell_length_c 7.1117
_cell_angle_alpha 90.00
_cell_angle_beta 90.00
_cell_angle_gamma 90.00
_space_group_name_H-M_alt 'I m m m'
_space_group_IT_number 71
_space_group_name_Hall '-I 2 2'
loop_
_atom_site_label
_atom_site_fract_x
_atom_site_fract_y
_atom_site_fract_z
_atom_site_occupancy
Dy1 0.0000 0.0000 0.0000 1
Tc1 0.0000 0.0000 0.5000 1
B1 0.0000 0.3363 0.2488 1
# Excess energy over the best structure of this formula in the dataset, meV per atom: 12

=====

Please write out number 2 again, unchanged.
# DyTaB | OQMD via LeMat-Bulk | PBE-GGA | relaxed
data_DyTaB
_chemical_formula_sum 'Dy4 Ta4 B4'
_cell_length_a 5.9541
_cell_length_b 5.9541
_cell_length_c 5.9541
_cell_angle_alpha 90.00
_cell_angle_beta 90.00
_cell_angle_gamma 90.00
_space_group_name_H-M_alt 'F -4 3 m'
_space_group_IT_number 216
_space_group_name_Hall 'F -4 2 3'
loop_
_atom_site_label
_atom_site_fract_x
_atom_site_fract_y
_atom_site_fract_z
_atom_site_occupancy
Dy1 0.0000 0.0000 0.0000 1
Ta1 0.0000 0.0000 0.5000 1
B1 0.2500 0.2500 0.2500 1
# Final energy, eV/atom: -7.3947

=====

Please write out number 6 again, unchanged.
# DyTcB4 | OQMD via LeMat-Bulk | PBE-GGA | relaxed
data_DyTcB4
_chemical_formula_sum 'Dy2 Tc2 B8'
_cell_length_a 3.1535
_cell_length_b 5.3721
_cell_length_c 7.1117
_cell_angle_alpha 90.00
_cell_angle_beta 90.00
_cell_angle_gamma 90.00
_space_group_name_H-M_alt 'I m m m'
_space_group_IT_number 71
_space_group_name_Hall '-I 2 2'
loop_
_atom_site_label
_atom_site_fract_x
_atom_site_fract_y
_atom_site_fract_z
_atom_site_occupancy
Dy1 0.0000 0.0000 0.0000 1
Tc1 0.0000 0.0000 0.5000 1
B1 0.0000 0.3363 0.2488 1
# Excess energy over the best structure of this formula in the dataset, meV per atom: 12